Entry 1:
This record from Alexandria via LeMat-Bulk describes Bi3P2O10 after structural relaxation. The functional is GGA-PBEsol.

a b c (Å): 6.825 7.577 8.999
angles (deg): 106.61 93.64 111.77
Element x y z (fractional)
O (0.466, 0.111, 0.642)
O (0.434, 0.467, 0.634)
O (0.143, 0.349, 0.173)
O (0.330, 0.400, 0.901)
O (0.370, 0.848, 0.079)
O (0.670, 0.600, 0.099)
O (0.225, 0.688, 0.760)
O (0.775, 0.312, 0.240)
O (0.566, 0.533, 0.366)
O (0.631, 0.876, 0.687)
O (0.630, 0.152, 0.921)
O (0.534, 0.889, 0.358)
O (0.037, 0.292, 0.426)
O (0.138, 0.761, 0.281)
O (0.963, 0.708, 0.574)
O (0.862, 0.239, 0.719)
O (0.857, 0.651, 0.827)
O (0.871, 0.002, 0.164)
O (0.129, 0.998, 0.836)
O (0.369, 0.124, 0.313)
P (0.957, 0.234, 0.244)
P (0.352, 0.902, 0.253)
P (0.648, 0.098, 0.747)
P (0.043, 0.766, 0.756)
Bi (0.671, 0.369, 0.503)
Bi (0.329, 0.631, 0.497)
Bi (0.174, 0.197, 0.674)
Bi (0.826, 0.803, 0.326)
Bi (0.446, 0.299, 0.091)
Bi (0.554, 0.701, 0.909)

Results
Total moment in μB/atom: 0.0001
Energy relative to the elements, uncorrected in eV/atom: -1.71

Entry 2:
This record from Alexandria via LeMat-Bulk describes BiP3O9 after structural relaxation. The functional is GGA-PBEsol.

a b c (Å): 6.933 7.202 13.724
angles (deg): 93.58 90.00 90.00
Element x y z (fractional)
O (0.814, 0.703, 0.870)
O (0.096, 0.191, 0.347)
O (0.606, 0.910, 0.570)
O (0.823, 0.213, 0.229)
O (0.766, 0.285, 0.410)
O (0.177, 0.787, 0.771)
O (0.106, 0.090, 0.930)
O (0.344, 0.434, 0.406)
O (0.036, 0.796, 0.412)
O (0.964, 0.204, 0.588)
O (0.156, 0.434, 0.906)
O (0.029, 0.499, 0.689)
O (0.323, 0.787, 0.271)
O (0.686, 0.703, 0.370)
O (0.596, 0.809, 0.153)
O (0.404, 0.191, 0.847)
O (0.734, 0.285, 0.910)
O (0.536, 0.204, 0.088)
O (0.656, 0.566, 0.594)
O (0.414, 0.199, 0.261)
O (0.314, 0.297, 0.630)
O (0.894, 0.910, 0.070)
O (0.971, 0.501, 0.311)
O (0.904, 0.809, 0.653)
O (0.186, 0.297, 0.130)
O (0.464, 0.796, 0.912)
O (0.677, 0.213, 0.729)
O (0.234, 0.715, 0.590)
O (0.086, 0.199, 0.761)
O (0.529, 0.501, 0.811)
O (0.844, 0.566, 0.094)
O (0.394, 0.090, 0.430)
O (0.266, 0.715, 0.090)
O (0.471, 0.499, 0.189)
O (0.914, 0.801, 0.239)
O (0.586, 0.801, 0.739)
P (0.102, 0.706, 0.675)
P (0.183, 0.237, 0.866)
P (0.817, 0.763, 0.134)
P (0.317, 0.237, 0.366)
P (0.898, 0.294, 0.325)
P (0.893, 0.706, 0.342)
P (0.683, 0.763, 0.634)
P (0.602, 0.294, 0.825)
P (0.607, 0.706, 0.842)
P (0.398, 0.706, 0.175)
P (0.107, 0.294, 0.658)
P (0.393, 0.294, 0.158)
Bi (0.367, 0.760, 0.433)
Bi (0.633, 0.240, 0.567)
Bi (0.867, 0.240, 0.067)
Bi (0.133, 0.760, 0.933)

Results
Total moment in μB/atom: 0.0000
Energy relative to the elements, uncorrected in eV/atom: -2.03